Model 1:
LiNiHgPb: relaxed, PBE.

Calculated values
M_tot   0.0 Bohr magnetons per cell

a b c (Å): 6.7715 6.7715 6.7715
angles (deg): 90.00 90.00 90.00
Closest atoms and distances in Å follow each position.
Space group F-43m (No. 216)
Asymmetric unit:
Li  0.0000  0.0000  0.0000 (multiplicity 4)  4 Hg 2.93, 4 Ni 2.93
Ni  0.2500  0.2500  0.7500 (multiplicity 4)  4 Pb 2.93, 4 Li 2.93
Hg  0.2500  0.2500  0.2500 (multiplicity 4)  4 Pb 2.93, 4 Li 2.93
Pb  0.0000  0.0000  0.5000 (multiplicity 4)  4 Ni 2.93, 4 Hg 2.93

Model 2:
LiNiHgPb: relaxed, PBE.

Calculated values
M_tot   0.0 Bohr magnetons per cell

a b c (Å): 6.5616 6.5616 6.5616
angles (deg): 90.00 90.00 90.00
Closest atoms and distances in Å follow each position.
Space group F-43m (No. 216)
Asymmetric unit:
Li  0.0000  0.0000  0.0000 (multiplicity 4)  4 Hg 2.84, 4 Pb 2.84
Ni  0.0000  0.0000  0.5000 (multiplicity 4)  4 Hg 2.84, 4 Pb 2.84
Hg  0.2500  0.2500  0.7500 (multiplicity 4)  4 Li 2.84, 4 Ni 2.84
Pb  0.2500  0.2500  0.2500 (multiplicity 4)  4 Li 2.84, 4 Ni 2.84

Which of them is least stable? Easy: model 1.